[1]
Here is an optimized crystal structure of BaZrIO2 from Alexandria via LeMat-Bulk. Energies are from PBE.

## Properties
The calculation puts the final energy at -6.21 eV/atom. Its energy above the most stable polymorph in this dataset is 0.000 eV/f.u. The value obtained for the magnetization is 0.17 μB/f.u. Its space-group type is P4/mmm, No. 123. The calculation puts the density of states at the Fermi level at 2.3 states/eV per cell.

extended XYZ file:
```
5
Lattice="4.4213 0.0000 0.0000 0.0000 4.4213 0.0000 0.0000 0.0000 5.8551" Properties=species:S:1:pos:R:3 pbc="T T T"
Ba 0.0000 0.0000 0.0000
Zr 2.2106 2.2106 2.9275
I 2.2106 2.2106 0.0000
O 0.0000 2.2106 2.9275
O 2.2106 0.0000 2.9275
```

=====

[2]
Here is an optimized crystal structure of BaZrI2O from Alexandria via LeMat-Bulk. Energies are from PBE.

## Properties
The calculation puts the final energy at -5.19 eV/atom. Its energy above the most stable polymorph in this dataset is 0.000 eV/f.u. The value obtained for the magnetization is 0.69 μB/f.u. Its space-group type is P4/mmm, No. 123. The calculation puts the density of states at the Fermi level at 2.7 states/eV per cell.

extended XYZ file:
```
5
Lattice="6.1316 0.0000 0.0000 0.0000 6.1316 0.0000 0.0000 0.0000 4.0951" Properties=species:S:1:pos:R:3 pbc="T T T"
Ba 0.0000 0.0000 0.0000
Zr 3.0658 3.0658 2.0475
I 0.0000 3.0658 2.0475
I 3.0658 0.0000 2.0475
O 3.0658 3.0658 0.0000
```

=====

[3]
Here is an optimized crystal structure of BaZrIO2 from Alexandria via LeMat-Bulk. Energies are from PBE.

## Properties
The calculation puts the final energy at -4.51 eV/atom. Its energy above the most stable polymorph in this dataset is 8.516 eV/f.u. The value obtained for the magnetization is 2.34 μB/f.u. Its space-group type is P4/mmm, No. 123. The calculation puts the density of states at the Fermi level at 8.9 states/eV per cell.

extended XYZ file:
```
5
Lattice="4.6107 0.0000 0.0000 0.0000 4.6107 0.0000 0.0000 0.0000 6.7066" Properties=species:S:1:pos:R:3 pbc="T T T"
Ba 0.0000 0.0000 0.0000
Zr 2.3054 2.3054 3.3533
I 0.0000 0.0000 3.3533
O 0.0000 2.3054 0.0000
O 2.3054 0.0000 0.0000
```

=====

[4]
Here is an optimized crystal structure of BaZrI2O from Alexandria via LeMat-Bulk. Energies are from PBE.

## Properties
The calculation puts the final energy at -3.95 eV/atom. Its energy above the most stable polymorph in this dataset is 6.211 eV/f.u. The value obtained for the magnetization is 2.54 μB/f.u. Its space-group type is P4/mmm, No. 123. The calculation puts the density of states at the Fermi level at 3.9 states/eV per cell.

extended XYZ file:
```
5
Lattice="6.6604 0.0000 0.0000 0.0000 6.6604 0.0000 0.0000 0.0000 4.4375" Properties=species:S:1:pos:R:3 pbc="T T T"
Ba 0.0000 0.0000 0.0000
Zr 3.3302 3.3302 2.2188
I 0.0000 3.3302 0.0000
I 3.3302 0.0000 0.0000
O 0.0000 0.0000 2.2188
```

=====

[5]
Here is an optimized crystal structure of BaOsI3 from Alexandria via LeMat-Bulk. Energies are from PBE.

## Properties
The calculation puts the final energy at -3.77 eV/atom. Its energy above the most stable polymorph in this dataset is 0.000 eV/f.u. The value obtained for the magnetization is 0.00 μB/f.u. Its space-group type is Pm-3m, No. 221. The calculation puts the density of states at the Fermi level at 3.8 states/eV per cell.

extended XYZ file:
```
5
Lattice="5.5047 0.0000 0.0000 0.0000 5.5047 0.0000 0.0000 0.0000 5.5047" Properties=species:S:1:pos:R:3 pbc="T T T"
Ba 0.0000 0.0000 0.0000
Os 2.7524 2.7524 2.7524
I 0.0000 2.7524 2.7524
I 2.7524 0.0000 2.7524
I 2.7524 2.7524 0.0000
```

=====

[6]
Here is an optimized crystal structure of Ba2Os2I from Alexandria via LeMat-Bulk. Energies are from PBE.

## Properties
The calculation puts the final energy at -5.05 eV/atom. Its energy above the most stable polymorph in this dataset is 0.000 eV/f.u. The value obtained for the magnetization is 2.00 μB/f.u. Its space-group type is P4/mbm, No. 127. The calculation puts the density of states at the Fermi level at 10.7 states/eV per cell.

extended XYZ file:
```
10
Lattice="8.2606 0.0000 0.0000 0.0000 8.2606 0.0000 0.0000 0.0000 4.6298" Properties=species:S:1:pos:R:3 pbc="T T T"
Ba 1.4773 2.6531 0.0000
Ba 2.6531 6.7834 0.0000
Ba 5.6076 1.4773 0.0000
Ba 6.7834 5.6076 0.0000
Os 0.8039 4.9342 2.3149
Os 3.3264 0.8039 2.3149
Os 4.9342 7.4568 2.3149
Os 7.4568 3.3264 2.3149
I 0.0000 0.0000 2.3149
I 4.1303 4.1303 2.3149
```

=====

> What is the formula in the fifth record?

BaOsI3

=====

> What is the formula in the fifth record?

BaOsI3